Material: Hg3ClO
Method: DFT, PBE
State: relaxed

CIF file:
```
data_Hg3ClO
_space_group_name_H-M_alt 'C 1 2/c 1'
_space_group_IT_number 15
_space_group_name_Hall '-C 2yc'
_cell_length_a 20.047
_cell_length_b 9.207
_cell_length_c 17.473
_cell_angle_alpha 90.00
_cell_angle_beta 111.12
_cell_angle_gamma 90.00
loop_
_atom_site_label
_atom_site_type_symbol
_atom_site_fract_x
_atom_site_fract_y
_atom_site_fract_z
_atom_site_occupancy
Hg1 Hg 0.010 0.119 0.179 1
Hg2 Hg 0.012 0.359 0.013 1
Hg3 Hg 0.069 0.482 0.297 1
Hg4 Hg 0.097 0.040 0.535 1
Hg5 Hg 0.161 0.146 0.837 1
Hg6 Hg 0.163 0.135 0.366 1
Hg7 Hg 0.166 0.395 0.524 1
Hg8 Hg 0.170 0.387 0.676 1
Hg9 Hg 0.231 0.027 0.113 1
Cl1 Cl 0.049 0.181 0.661 1
Cl2 Cl 0.139 0.306 0.973 1
Cl3 Cl 0.150 0.286 0.209 1
O1 O 0.004 0.135 0.052 1
O2 O 0.162 0.360 0.401 1
O3 O 0.172 0.372 0.801 1
```

Material: GeB2Ir
Method: DFT, PBE
State: relaxed

Results
For the density of states at the Fermi level, the calculation gives 6.886 states/eV per cell.

CIF file:
```
data_GeB2Ir
_space_group_name_H-M_alt 'I -4 2 d'
_space_group_IT_number 122
_space_group_name_Hall 'I -4 2bw'
_cell_length_a 4.892
_cell_length_b 4.892
_cell_length_c 9.472
_cell_angle_alpha 90.00
_cell_angle_beta 90.00
_cell_angle_gamma 90.00
loop_
_atom_site_label
_atom_site_type_symbol
_atom_site_fract_x
_atom_site_fract_y
_atom_site_fract_z
_atom_site_occupancy
Ge1 Ge 0.000 0.000 0.000 1
B1 B 0.227 0.250 0.625 1
Ir1 Ir 0.000 0.000 0.500 1
```

Number 1: total moment 0.0 μB per cell, energy -0.1382 Ry per atom. Number 2: total moment 0.0 μB per cell, energy -0.4642 Ry per atom.